No. 1
## HgPPt2 (PBE)

Data for an optimized crystal structure of HgPPt2.

Computed properties:
- DFT formation energy: 7 kJ/mol of formula units
- Size of the total moment: 0.0 μB per cell
- Energy above the most stable polymorph in this dataset: 0.142 eV/atom
- D(E_F): 1.4 states/eV/cell

Cell: 3.0304 3.0304 7.8687 Å, 90.00 90.00 90.00°
Space group P4mm (No. 99)
Inequivalent atoms, fractional coordinates:
1 Hg 0.0000 0.0000 0.0000
2 P 0.5000 0.5000 0.3485
3 Pt 0.0000 0.0000 0.5010
4 Pt 0.5000 0.5000 0.7483

***

No. 2
## LaHfSbO6 (PBE)

Data for an optimized crystal structure of LaHfSbO6.

Computed properties:
- Size of the total moment: 0.0 μB per cell
- E_form (uncorrected): -2752 meV per atom
- D(E_F): 0.0 states/eV/cell

Cell: 5.4316 5.4316 10.3484 Å, 90.00 90.00 120.00°
Space group P-31c (No. 163)
Inequivalent atoms, fractional coordinates:
1 La 0.0000 0.0000 0.0000
2 Hf 0.3333 0.6667 0.2500
3 Sb 0.3333 0.6667 0.7500
4 O 0.0111 0.3726 0.6419

***

No. 3
## Mg2ZrCd (PBE)

Data for an optimized crystal structure of Mg2ZrCd.

Computed properties:
- DFT formation energy: 118 kJ/mol of formula units
- Size of the total moment: 0.0 μB per cell
- D(E_F): 9.7 states/eV/cell

Cell: 7.9109 7.9109 6.0186 Å, 90.00 90.00 90.00°
Space group I-42d (No. 122)
Inequivalent atoms, fractional coordinates:
1 Mg 0.2245 0.2500 0.1250
2 Zr 0.0000 0.0000 0.5000
3 Cd 0.0000 0.0000 0.0000

***

No. 4
## HfPaCoTc (PBE)

Data for an optimized crystal structure of HfPaCoTc.

Computed properties:
- DFT formation energy: -92 kJ/mol of formula units
- Size of the total moment: 0.0 μB per cell
- D(E_F): 18.5 states/eV/cell

Cell: 6.6083 6.6083 6.6083 Å, 90.00 90.00 90.00°
Space group F-43m (No. 216)
Inequivalent atoms, fractional coordinates:
1 Hf 0.0000 0.0000 0.0000
2 Pa 0.0000 0.0000 0.5000
3 Co 0.2500 0.2500 0.2500
4 Tc 0.2500 0.2500 0.7500